Material: Mg2ScInN
Method: DFT, PBE
State: optimized geometry

Cell and atoms, written as POSCAR:
```
Mg2ScInN
1.0
4.439 0.000 0.000
0.000 4.439 0.000
0.000 0.000 4.389
Mg Sc In N
2 1 1 1
Cartesian
0.000 2.219 0.000 Mg
2.219 0.000 0.000 Mg
0.000 0.000 2.195 Sc
2.219 2.219 2.195 In
0.000 0.000 0.000 N
```

Results
Size of the total moment in μB/atom: 0.00
Total energy in eV/atom: -4.756
Crystal system: tetragonal
Formation energy without anion corrections in eV/atom: -0.639
SG: P4/mmm